[1]
## Rb2DyAuCl6 (PBE-GGA)

Data for a geometry-optimized Rb2DyAuCl6 structure.

Values from the calculation:
The value obtained for the uncorrected energy is -3.799 eV/atom. The formation energy (no corrections) comes out at -164.9 kJ per mole of atoms. Its mass density is 3.56 g/cm³. The volume comes out at 34.64 A^3/atom. For the offset from the most stable computed form, the calculation gives 0.000 eV per atom. As for the symmetry: No. 14.

abc: 6.7324 7.2626 14.3150
angles: 90.00 98.17 90.00
Atoms (fractional coordinates):
1 Rb 0.9822 0.9692 0.2049
2 Rb 0.4822 0.5308 0.7049
3 Rb 0.0178 0.0308 0.7951
4 Rb 0.5178 0.4692 0.2951
5 Dy 0.5000 0.0000 0.5000
6 Dy 0.0000 0.5000 0.0000
7 Au 0.5000 0.0000 0.0000
8 Au 0.0000 0.5000 0.5000
9 Cl 0.2700 0.6773 0.1146
10 Cl 0.7700 0.8227 0.6146
11 Cl 0.7300 0.3227 0.8854
12 Cl 0.2300 0.1773 0.3854
13 Cl 0.2767 0.6760 0.4727
14 Cl 0.7767 0.8240 0.9727
15 Cl 0.7233 0.3240 0.5273
16 Cl 0.2233 0.1760 0.0273
17 Cl 0.8402 0.3980 0.1481
18 Cl 0.3402 0.1020 0.6481
19 Cl 0.1598 0.6020 0.8519
20 Cl 0.6598 0.8980 0.3519

***

[2]
## LiNbHg (PBE-GGA)

Data for a geometry-optimized LiNbHg structure.

Values from the calculation:
The value obtained for the uncorrected energy is -2.781 eV/atom. Its mass density is 6.65 g/cm³. The volume comes out at 24.99 A^3/atom. Its formation energy is 1.314 eV per atom. For the offset from the most stable computed form, the calculation gives 1.326 eV per atom. As for the symmetry: No. 194.

abc: 3.9441 3.9441 11.1301
angles: 90.00 90.00 120.00
Last column: magnetic moment on the atom in μB.
Atoms (fractional coordinates):
1 Nb 0.0000 0.0000 0.0000  1.49
2 Nb 0.0000 0.0000 0.5000  1.50
3 Hg 0.0000 0.0000 0.2500  0.03
4 Hg 0.0000 0.0000 0.7500  0.03
5 Li 0.3333 0.6667 0.2500  -0.01
6 Li 0.6667 0.3333 0.7500  -0.01

***

[3]
## LiCeTmS3 (PBE-GGA)

Data for a geometry-optimized LiCeTmS3 structure.

Values from the calculation:
The value obtained for the uncorrected energy is -5.924 eV/atom. The formation energy (no corrections) comes out at -174.4 kJ per mole of atoms. Its mass density is 5.38 g/cm³. The volume comes out at 21.21 A^3/atom. As for the symmetry: No. 11.

abc: 3.8483 8.0419 8.4591
angles: 103.56 90.00 90.00
Last column: magnetic moment on the atom in μB.
Atoms (fractional coordinates):
1 Li 0.2500 0.0882 0.5839  0.00
2 Li 0.7500 0.9118 0.4161  0.00
3 Ce 0.2500 0.1869 0.2225  1.06
4 Ce 0.7500 0.8131 0.7775  1.06
5 Tm 0.2500 0.6670 0.1619  0.07
6 Tm 0.7500 0.3330 0.8381  0.07
7 S 0.7500 0.8994 0.1358  -0.01
8 S 0.2500 0.1006 0.8642  -0.01
9 S 0.2500 0.7816 0.4970  -0.01
10 S 0.7500 0.2184 0.5030  -0.01
11 S 0.7500 0.4345 0.1690  -0.01
12 S 0.2500 0.5655 0.8310  -0.01

***

[4]
## CrCo2H (PBE-GGA)

Data for a geometry-optimized CrCo2H structure.

Values from the calculation:
The value obtained for the uncorrected energy is -6.754 eV/atom. Its mass density is 8.27 g/cm³. The volume comes out at 8.57 A^3/atom. For the offset from the most stable computed form, the calculation gives 0.000 eV per atom. As for the symmetry: No. 160.

abc: 2.5278 2.5278 6.3648
angles: 78.55 78.55 60.04
Last column: magnetic moment on the atom in μB.
Atoms (fractional coordinates):
1 Cr 0.5002 0.5002 0.5002  -0.13
2 Co 0.0616 0.0616 0.8154  0.65
3 Co 0.2722 0.2722 0.1818  0.09
4 H 0.6659 0.6659 0.0026  0.00

***

[5]
## GeAsO (PBE-GGA)

Data for a geometry-optimized GeAsO structure.

Values from the calculation:
The value obtained for the uncorrected energy is -5.413 eV/atom. The formation energy (no corrections) comes out at -64.8 kJ per mole of atoms. Its mass density is 4.25 g/cm³. The volume comes out at 21.28 A^3/atom. For the offset from the most stable computed form, the calculation gives 0.000 eV per atom. As for the symmetry: No. 12.

abc: 2.8871 7.1523 6.8594
angles: 112.21 102.15 90.00
Atoms (fractional coordinates):
1 Ge 0.5810 0.3909 0.1621
2 Ge 0.4190 0.6091 0.8379
3 As 0.6220 0.7639 0.2440
4 As 0.3780 0.2361 0.7560
5 O 0.1370 0.3131 0.2740
6 O 0.8630 0.6869 0.7260

***

[6]
## YPBrCl2 (PBE-GGA)

Data for a geometry-optimized YPBrCl2 structure.

Values from the calculation:
The value obtained for the uncorrected energy is -4.269 eV/atom. The formation energy (no corrections) comes out at -79.2 kJ per mole of atoms. Its mass density is 2.88 g/cm³. The volume comes out at 31.24 A^3/atom. For the offset from the most stable computed form, the calculation gives 0.000 eV per atom. As for the symmetry: No. 123.

abc: 5.1069 5.1069 5.9899
angles: 90.00 90.00 90.00
Last column: magnetic moment on the atom in μB.
Atoms (fractional coordinates):
1 Y 0.0000 0.0000 0.0000  0.00
2 P 0.0000 0.0000 0.5000  0.48
3 Br 0.5000 0.5000 0.5000  -0.11
4 Cl 0.0000 0.5000 0.0000  0.01
5 Cl 0.5000 0.0000 0.0000  0.01

***

[7]
## NdTh3Sc6 (PBE-GGA)

Data for a geometry-optimized NdTh3Sc6 structure.

Values from the calculation:
The value obtained for the uncorrected energy is -6.338 eV/atom. Its mass density is 6.57 g/cm³. The volume comes out at 28.08 A^3/atom. Its formation energy is 0.163 eV per atom. As for the symmetry: No. 36.

abc: 6.0509 10.8551 10.8551
angles: 128.04 90.00 90.00
Atoms (fractional coordinates):
1 Nd 0.0288 0.1594 0.8406
2 Nd 0.5288 0.8406 0.1594
3 Th 0.5121 0.9373 0.6961
4 Th 0.0121 0.6961 0.9373
5 Th 0.1100 0.4277 0.5723
6 Th 0.6100 0.5723 0.4277
7 Th 0.0121 0.0627 0.3039
8 Th 0.5121 0.3039 0.0627
9 Sc 0.0473 0.7557 0.6272
10 Sc 0.5473 0.6272 0.7557
11 Sc 0.3375 0.4493 0.8945
12 Sc 0.8375 0.8945 0.4493
13 Sc 0.2654 0.9998 0.0002
14 Sc 0.7873 0.3048 0.6952
15 Sc 0.2873 0.6952 0.3048
16 Sc 0.7654 0.0002 0.9998
17 Sc 0.3375 0.1055 0.5507
18 Sc 0.8375 0.5507 0.1055
19 Sc 0.0473 0.3728 0.2443
20 Sc 0.5473 0.2443 0.3728

***

[8]
## K3Ag6Te5 (PBE-GGA)

Data for a geometry-optimized K3Ag6Te5 structure.

Values from the calculation:
The value obtained for the uncorrected energy is -3.014 eV/atom. The formation energy (no corrections) comes out at -41.9 kJ per mole of atoms. Its mass density is 5.82 g/cm³. The volume comes out at 28.56 A^3/atom. As for the symmetry: No. 59.

abc: 4.6341 12.0896 14.2737
angles: 90.00 90.00 90.00
Atoms (fractional coordinates):
1 K 0.0000 0.2500 0.6572
2 K 0.5000 0.7500 0.1572
3 K 0.5000 0.7500 0.8428
4 K 0.0000 0.2458 0.0000
5 K 0.5000 0.7542 0.5000
6 K 0.0000 0.2500 0.3428
7 Ag 0.0000 0.0036 0.8327
8 Ag 0.5000 0.9964 0.6673
9 Ag 0.5000 0.3814 0.8144
10 Ag 0.5000 0.4974 0.0000
11 Ag 0.0000 0.5026 0.5000
12 Ag 0.0000 0.6186 0.6856
13 Ag 0.0000 0.6186 0.3144
14 Ag 0.5000 0.0102 0.0000
15 Ag 0.0000 0.0036 0.1673
16 Ag 0.5000 0.3814 0.1856
17 Ag 0.0000 0.9898 0.5000
18 Ag 0.5000 0.9964 0.3327
19 Te 0.0000 0.5095 0.8688
20 Te 0.0000 0.8515 0.6714
21 Te 0.0000 0.8712 0.0000
22 Te 0.5000 0.4905 0.6312
23 Te 0.5000 0.1288 0.5000
24 Te 0.0000 0.5095 0.1312
25 Te 0.5000 0.4905 0.3688
26 Te 0.0000 0.8515 0.3286
27 Te 0.5000 0.1485 0.8286
28 Te 0.5000 0.1485 0.1714

***

[9]
## LaPr6Sm2Th (PBE-GGA)

Data for a geometry-optimized LaPr6Sm2Th structure.

Values from the calculation:
The value obtained for the uncorrected energy is -4.906 eV/atom. Its mass density is 7.06 g/cm³. The volume comes out at 35.68 A^3/atom. Its formation energy is 0.140 eV per atom. As for the symmetry: No. 15.

abc: 10.2522 8.9117 8.9117
angles: 116.43 96.19 96.19
Atoms (fractional coordinates):
1 La 0.2500 0.9841 0.0159
2 La 0.7500 0.0159 0.9841
3 Pr 0.0591 0.1119 0.7375
4 Pr 0.4409 0.2625 0.8881
5 Pr 0.9409 0.8881 0.2625
6 Pr 0.5591 0.7375 0.1119
7 Pr 0.3134 0.9867 0.4286
8 Pr 0.1866 0.5714 0.0133
9 Pr 0.6866 0.0133 0.5714
10 Pr 0.8134 0.4286 0.9867
11 Pr 0.1164 0.6912 0.4940
12 Pr 0.3836 0.5060 0.3088
13 Pr 0.8836 0.3088 0.5060
14 Pr 0.6164 0.4940 0.6912
15 Sm 0.4517 0.8129 0.7231
16 Sm 0.0483 0.2769 0.1871
17 Sm 0.5483 0.1871 0.2769
18 Sm 0.9517 0.7231 0.8129
19 Th 0.2500 0.4033 0.5967
20 Th 0.7500 0.5967 0.4033

***

[10]
## CsCaNF2 (PBE-GGA)

Data for a geometry-optimized CsCaNF2 structure.

Values from the calculation:
The value obtained for the uncorrected energy is -3.589 eV/atom. The formation energy (no corrections) comes out at -58.3 kJ per mole of atoms. Its mass density is 3.24 g/cm³. The volume comes out at 23.09 A^3/atom. For the offset from the most stable computed form, the calculation gives 1.238 eV per atom. As for the symmetry: No. 123.

abc: 5.0509 5.0509 4.5256
angles: 90.00 90.00 90.00
Last column: magnetic moment on the atom in μB.
Atoms (fractional coordinates):
1 Cs 0.0000 0.0000 0.0000  0.02
2 Ca 0.5000 0.5000 0.5000  0.00
3 N 0.0000 0.0000 0.5000  0.10
4 F 0.0000 0.5000 0.0000  0.00
5 F 0.5000 0.0000 0.0000  0.00